(1)
# PuU3Se6 (GGA-PBE, relaxed)
data_PuU3Se6
_cell_length_a 11.576
_cell_length_b 4.054
_cell_length_c 11.913
_cell_angle_alpha 90.00
_cell_angle_beta 108.41
_cell_angle_gamma 90.00
_space_group_name_H-M_alt 'P 1 21/m 1'
_space_group_IT_number 11
loop_
_space_group_symop_operation_xyz
'x,y,z'
'-x,-y,-z'
'-x,y+1/2,-z'
'x,-y+1/2,z'
loop_
_atom_site_label
_atom_site_type_symbol
_atom_site_fract_x
_atom_site_fract_y
_atom_site_fract_z
Pu1 Pu 0.047 0.250 0.189
U1 U 0.148 0.250 0.577
U2 U 0.316 0.750 0.004
U3 U 0.435 0.250 0.334
Se1 Se 0.087 0.750 0.396
Se2 Se 0.122 0.250 0.963
Se3 Se 0.197 0.750 0.751
Se4 Se 0.259 0.750 0.228
Se5 Se 0.389 0.250 0.558
Se6 Se 0.492 0.250 0.120
# **Formation energy without anion corrections**: -1.179 eV/atom

---

(2)
# Sr8Bi5Pt (GGA-PBE, relaxed)
data_Sr8Bi5Pt
_cell_length_a 10.063
_cell_length_b 10.063
_cell_length_c 10.154
_cell_angle_alpha 90.00
_cell_angle_beta 90.00
_cell_angle_gamma 90.00
_space_group_name_H-M_alt 'I -4'
_space_group_IT_number 82
loop_
_space_group_symop_operation_xyz
'x,y,z'
'y,-x,-z'
'-x,-y,z'
'-y,x,-z'
'x+1/2,y+1/2,z+1/2'
'y+1/2,-x+1/2,-z+1/2'
'-x+1/2,-y+1/2,z+1/2'
'-y+1/2,x+1/2,-z+1/2'
loop_
_atom_site_label
_atom_site_type_symbol
_atom_site_fract_x
_atom_site_fract_y
_atom_site_fract_z
Sr1 Sr 0.064 0.308 0.047
Sr2 Sr 0.077 0.176 0.694
Bi1 Bi 0.000 0.500 0.750
Bi2 Bi 0.127 0.248 0.370
Pt1 Pt 0.000 0.000 0.000
# **Calculated formation energy**: -0.849 eV per atom

---

(3)
# GaCu2B (GGA-PBE, relaxed)
data_GaCu2B
_cell_length_a 3.619
_cell_length_b 3.619
_cell_length_c 15.527
_cell_angle_alpha 90.00
_cell_angle_beta 90.00
_cell_angle_gamma 90.00
_space_group_name_H-M_alt 'I -4 2 d'
_space_group_IT_number 122
_space_group_name_Hall 'I -4 2bw'
loop_
_atom_site_label
_atom_site_type_symbol
_atom_site_fract_x
_atom_site_fract_y
_atom_site_fract_z
Ga1 Ga 0.000 0.000 0.000
Cu1 Cu 0.210 0.250 0.625
B1 B 0.000 0.000 0.500
# **Calculated formation energy**: 0.542 eV per atom
# **ΔE to the lowest computed polymorph**: 0 meV/atom

---

(4)
# AlAs2Ir (GGA-PBE, relaxed)
data_AlAs2Ir
_cell_length_a 3.0608
_cell_length_b 3.0608
_cell_length_c 26.0314
_cell_angle_alpha 90.00
_cell_angle_beta 90.00
_cell_angle_gamma 120.00
_space_group_name_H-M_alt 'R -3 m'
_space_group_IT_number 166
_space_group_name_Hall '-R 3 2"'
loop_
_atom_site_label
_atom_site_type_symbol
_atom_site_fract_x
_atom_site_fract_y
_atom_site_fract_z
Al1 Al 0.0000 0.0000 0.0000
As1 As 0.0000 0.0000 0.2402
Ir1 Ir 0.0000 0.0000 0.5000
# **Calculated formation energy**: 0.146 eV per atom

---

(5)
# CdCI2N (GGA-PBE, relaxed)
data_CdCI2N
_cell_length_a 7.861
_cell_length_b 7.861
_cell_length_c 2.662
_cell_angle_alpha 90.00
_cell_angle_beta 90.00
_cell_angle_gamma 90.00
_space_group_name_H-M_alt 'P 4/m m m'
_space_group_IT_number 123
_space_group_name_Hall '-P 4 2'
loop_
_atom_site_label
_atom_site_type_symbol
_atom_site_fract_x
_atom_site_fract_y
_atom_site_fract_z
Cd1 Cd 0.000 0.000 0.000
C1 C 0.500 0.500 0.500
I1 I 0.000 0.500 0.500
N1 N 0.500 0.500 0.000
# **ΔE to the lowest computed polymorph**: 0 meV/atom
# **Formation energy without anion corrections**: 0.730 eV/atom

---

(6)
# BaCrTe2 (GGA-PBE, relaxed)
data_BaCrTe2
_cell_length_a 4.5344
_cell_length_b 4.5344
_cell_length_c 21.9817
_cell_angle_alpha 90.00
_cell_angle_beta 90.00
_cell_angle_gamma 120.00
_space_group_name_H-M_alt 'R -3 m'
_space_group_IT_number 166
_space_group_name_Hall '-R 3 2"'
loop_
_atom_site_label
_atom_site_type_symbol
_atom_site_fract_x
_atom_site_fract_y
_atom_site_fract_z
Ba1 Ba 0.0000 0.0000 0.0000
Cr1 Cr 0.0000 0.0000 0.5000
Te1 Te 0.0000 0.0000 0.2300
# **Formation energy without anion corrections**: -0.725 eV/atom

---

(7)
# AlZnNiIr (GGA-PBE, relaxed)
data_AlZnNiIr
_cell_length_a 5.946
_cell_length_b 5.946
_cell_length_c 5.946
_cell_angle_alpha 90.00
_cell_angle_beta 90.00
_cell_angle_gamma 90.00
_space_group_name_H-M_alt 'F -4 3 m'
_space_group_IT_number 216
_space_group_name_Hall 'F -4 2 3'
loop_
_atom_site_label
_atom_site_type_symbol
_atom_site_fract_x
_atom_site_fract_y
_atom_site_fract_z
Al1 Al 0.000 0.000 0.000
Zn1 Zn 0.000 0.000 0.500
Ni1 Ni 0.250 0.250 0.750
Ir1 Ir 0.250 0.250 0.250
# **Calculated formation energy**: -0.515 eV per atom
# **ΔE to the lowest computed polymorph**: 3 meV/atom

---

(8)
# Tb2Mg2Hg (GGA-PBE, relaxed)
data_Tb2Mg2Hg
_cell_length_a 8.963
_cell_length_b 5.182
_cell_length_c 6.382
_cell_angle_alpha 90.00
_cell_angle_beta 117.82
_cell_angle_gamma 90.00
_space_group_name_H-M_alt 'C 1 2/m 1'
_space_group_IT_number 12
loop_
_space_group_symop_operation_xyz
'x,y,z'
'-x,-y,-z'
'-x,y,-z'
'x,-y,z'
'x+1/2,y+1/2,z'
'-x+1/2,-y+1/2,-z'
'-x+1/2,y+1/2,-z'
'x+1/2,-y+1/2,z'
loop_
_atom_site_label
_atom_site_type_symbol
_atom_site_fract_x
_atom_site_fract_y
_atom_site_fract_z
Tb1 Tb 0.103 0.000 0.309
Mg1 Mg 0.180 0.500 0.039
Hg1 Hg 0.000 0.500 0.500
# **Calculated formation energy**: -0.202 eV per atom

---

(9)
# TmO6F2 (GGA-PBE, relaxed)
data_TmO6F2
_cell_length_a 3.474
_cell_length_b 6.721
_cell_length_c 7.015
_cell_angle_alpha 107.85
_cell_angle_beta 96.83
_cell_angle_gamma 104.72
_space_group_name_H-M_alt 'P -1'
_space_group_IT_number 2
loop_
_space_group_symop_operation_xyz
'x,y,z'
'-x,-y,-z'
loop_
_atom_site_label
_atom_site_type_symbol
_atom_site_fract_x
_atom_site_fract_y
_atom_site_fract_z
Tm1 Tm 0.000 0.000 0.000
O1 O 0.070 0.910 0.286
O2 O 0.137 0.302 0.531
O3 O 0.223 0.265 0.695
F1 F 0.376 0.791 0.896
# **Formation energy without anion corrections**: -1.249 eV/atom

---

(10)
# TmTlCd (GGA-PBE, relaxed)
data_TmTlCd
_cell_length_a 4.9593
_cell_length_b 4.9593
_cell_length_c 3.5502
_cell_angle_alpha 90.00
_cell_angle_beta 90.00
_cell_angle_gamma 120.00
_space_group_name_H-M_alt 'P 3 m 1'
_space_group_IT_number 156
loop_
_space_group_symop_operation_xyz
'x,y,z'
'-y,x-y,z'
'-x+y,-x,z'
'-y,-x,z'
'-x+y,y,z'
'x,x-y,z'
loop_
_atom_site_label
_atom_site_type_symbol
_atom_site_fract_x
_atom_site_fract_y
_atom_site_fract_z
Tm1 Tm 0.0000 0.0000 0.0000
Tl1 Tl 0.6667 0.3333 0.4182
Cd1 Cd 0.3333 0.6667 0.5527
# **Calculated formation energy**: -0.205 eV per atom

---

(11)
# SrCBr2 (GGA-PBE, relaxed)
data_SrCBr2
_cell_length_a 5.270
_cell_length_b 5.270
_cell_length_c 18.294
_cell_angle_alpha 90.00
_cell_angle_beta 90.00
_cell_angle_gamma 90.00
_space_group_name_H-M_alt 'I -4 2 d'
_space_group_IT_number 122
_space_group_name_Hall 'I -4 2bw'
loop_
_atom_site_label
_atom_site_type_symbol
_atom_site_fract_x
_atom_site_fract_y
_atom_site_fract_z
Sr1 Sr 0.000 0.000 0.000
C1 C 0.000 0.000 0.500
Br1 Br 0.228 0.250 0.625
# **ΔE to the lowest computed polymorph**: 70 meV/atom
# **Formation energy without anion corrections**: 0.368 eV/atom

---

(12)
# ScCoPt (GGA-PBE, relaxed)
data_ScCoPt
_cell_length_a 5.926
_cell_length_b 5.926
_cell_length_c 5.926
_cell_angle_alpha 90.00
_cell_angle_beta 90.00
_cell_angle_gamma 90.00
_space_group_name_H-M_alt 'F -4 3 m'
_space_group_IT_number 216
_space_group_name_Hall 'F -4 2 3'
loop_
_atom_site_label
_atom_site_type_symbol
_atom_site_fract_x
_atom_site_fract_y
_atom_site_fract_z
Sc1 Sc 0.000 0.000 0.000
Co1 Co 0.250 0.250 0.750
Pt1 Pt 0.000 0.000 0.500
# **Calculated formation energy**: -0.372 eV per atom

---

| no. | total DFT energy (no corrections) (eV/atom) |
| --- | --- |
| 1 | -8.09 |
| 2 | -3.63 |
| 3 | -3.93 |
| 4 | -5.33 |
| 5 | -3.58 |
| 6 | -5.18 |
| 7 | -5.43 |
| 8 | -2.75 |
| 9 | -5.47 |
| 10 | -2.79 |
| 11 | -3.19 |
| 12 | -6.86 |